[1]
Here is a geometry-optimized NiRhPb2 structure from the Alexandria database. Energies are from PBE.

Cell and atoms, written as POSCAR:
```
NiRhPb2
1.0
6.732 0.000 0.000
0.000 6.732 0.000
0.000 0.000 6.732
Ni Rh Pb
4 4 8
direct
0.000 0.000 0.000
0.000 0.500 0.500
0.500 0.000 0.500
0.500 0.500 0.000
0.000 0.000 0.500
0.000 0.500 0.000
0.500 0.000 0.000
0.500 0.500 0.500
0.250 0.250 0.250
0.250 0.250 0.750
0.250 0.750 0.250
0.250 0.750 0.750
0.750 0.250 0.250
0.750 0.250 0.750
0.750 0.750 0.250
0.750 0.750 0.750
```

Summary:
Relative energy among the computed polymorphs, eV/f.u.: 0.65
Energy relative to the elements, eV/atom: 0.221

***

[2]
Here is a geometry-optimized KCdAs structure from the Alexandria database. Energies are from PBE.

Cell and atoms, written as POSCAR:
```
KCdAs
1.0
4.611 0.000 0.000
0.000 4.611 0.000
0.000 0.000 7.996
K Cd As
2 2 2
direct
0.250 0.250 0.151
0.750 0.750 0.849
0.250 0.750 0.500
0.750 0.250 0.500
0.250 0.250 0.708
0.750 0.750 0.292
```

Summary:
Energy relative to the elements, eV/atom: -0.431

***

[3]
Here is a geometry-optimized CsZn2O2 structure from the Alexandria database. Energies are from PBE.

Cell and atoms, written as POSCAR:
```
CsZn2O2
1.0
8.001 0.000 0.000
0.000 8.001 0.000
0.000 0.000 3.030
Cs Zn O
2 4 4
direct
0.000 0.000 0.000
0.500 0.500 0.000
0.099 0.401 0.000
0.401 0.901 0.000
0.599 0.099 0.000
0.901 0.599 0.000
0.112 0.612 0.500
0.388 0.112 0.500
0.612 0.888 0.500
0.888 0.388 0.500
```

Summary:
Relative energy among the computed polymorphs, eV/f.u.: 3.31

***

[4]
Here is a geometry-optimized La2ThMg structure from the Alexandria database. Energies are from PBE.

Cell and atoms, written as POSCAR:
```
La2ThMg
1.0
5.053 0.000 0.000
0.000 5.053 0.000
0.000 0.000 5.064
La Th Mg
2 1 1
direct
0.000 0.500 0.000
0.500 0.000 0.000
0.000 0.000 0.500
0.500 0.500 0.500
```

Summary:
Relative energy among the computed polymorphs, eV/f.u.: 0.39
Energy relative to the elements, eV/atom: 0.043

***

[5]
Here is a geometry-optimized Tm3Ge2Rh structure from the Alexandria database. Energies are from PBE.

Cell and atoms, written as POSCAR:
```
Tm3Ge2Rh
1.0
11.559 0.000 0.000
0.000 4.174 0.000
0.000 0.000 11.052
Tm Ge Rh
12 8 4
direct
0.052 0.250 0.129
0.122 0.750 0.554
0.227 0.250 0.797
0.273 0.750 0.297
0.378 0.250 0.054
0.448 0.750 0.629
0.552 0.250 0.371
0.622 0.750 0.946
0.727 0.250 0.703
0.773 0.750 0.203
0.878 0.250 0.446
0.948 0.750 0.871
0.004 0.750 0.311
0.186 0.750 0.004
0.314 0.250 0.504
0.496 0.250 0.811
0.504 0.750 0.189
0.686 0.750 0.496
0.814 0.250 0.996
0.996 0.250 0.689
0.130 0.250 0.372
0.370 0.750 0.872
0.630 0.250 0.128
0.870 0.750 0.628
```

Summary:
Energy relative to the elements, eV/atom: -0.890

***

[6]
Here is a geometry-optimized Hf6InSn2 structure from the Alexandria database. Energies are from PBE.

Cell and atoms, written as POSCAR:
```
Hf6InSn2
1.0
9.542 0.000 0.000
0.000 9.542 0.000
0.000 0.000 4.357
Hf In Sn
12 2 4
direct
0.001 0.336 0.000
0.158 0.842 0.500
0.164 0.501 0.500
0.336 0.001 0.000
0.342 0.342 0.000
0.499 0.836 0.500
0.501 0.164 0.500
0.658 0.658 0.000
0.664 0.999 0.000
0.836 0.499 0.500
0.842 0.158 0.500
0.999 0.664 0.000
0.000 0.000 0.000
0.500 0.500 0.500
0.179 0.179 0.500
0.321 0.679 0.000
0.679 0.321 0.000
0.821 0.821 0.500
```

Summary:
Energy relative to the elements, eV/atom: -0.222

***

[7]
Here is a geometry-optimized TmTiO3 structure from the Alexandria database. Energies are from PBE.

Cell and atoms, written as POSCAR:
```
TmTiO3
1.0
5.671 0.000 0.000
0.000 7.636 0.000
0.000 0.000 5.281
Tm Ti O
4 4 12
direct
0.074 0.250 0.024
0.426 0.750 0.524
0.574 0.250 0.476
0.926 0.750 0.976
0.000 0.000 0.500
0.000 0.500 0.500
0.500 0.000 0.000
0.500 0.500 0.000
0.052 0.750 0.369
0.195 0.562 0.813
0.195 0.938 0.813
0.305 0.062 0.313
0.305 0.438 0.313
0.448 0.250 0.869
0.552 0.750 0.131
0.695 0.562 0.687
0.695 0.938 0.687
0.805 0.062 0.187
0.805 0.438 0.187
0.948 0.250 0.631
```

***

[8]
Here is a geometry-optimized NdSm5Th2 structure from the Alexandria database. Energies are from PBE.

Cell and atoms, written as POSCAR:
```
NdSm5Th2
1.0
3.562 0.000 0.000
0.000 11.354 0.000
0.000 0.000 13.464
Nd Sm Th
2 10 4
direct
0.000 0.000 0.000
0.500 0.500 0.500
0.000 0.233 0.369
0.000 0.233 0.631
0.000 0.500 0.000
0.000 0.767 0.369
0.000 0.767 0.631
0.500 0.000 0.500
0.500 0.267 0.131
0.500 0.267 0.869
0.500 0.733 0.131
0.500 0.733 0.869
0.000 0.500 0.259
0.000 0.500 0.741
0.500 0.000 0.241
0.500 0.000 0.759
```

Summary:
Energy relative to the elements, eV/atom: 0.104

***

Short version: E = -0.1807; -0.0974; -0.1056; -0.1718; -0.2165; -0.2959; -0.3191; -0.1947 Ha/atom, in the order given.